VASP calculation (GGA-PBE) on a geometry-optimized Er4MgOs structure.

Cell and atoms, written as CIF:
```
data_Er4MgOs
_chemical_formula_sum 'Er64 Mg16 Os16'
_space_group_name_H-M_alt 'F -4 3 m'
_space_group_IT_number 216
_space_group_name_Hall 'F -4 2 3'
_cell_length_a 13.628
_cell_length_b 13.628
_cell_length_c 13.628
_cell_angle_alpha 90.00
_cell_angle_beta 90.00
_cell_angle_gamma 90.00
loop_
_atom_site_label
_atom_site_fract_x
_atom_site_fract_y
_atom_site_fract_z
_atom_site_occupancy
Er1 0.000 0.000 0.188 1
Er2 0.059 0.250 0.250 1
Er3 0.156 0.156 0.656 1
Mg1 0.079 0.079 0.421 1
Os1 0.139 0.139 0.861 1
```

E above lowest polymorph = 0 meV per atom
crystal system = cubic
formation energy from the elements = -0.205 eV per atom



VASP calculation (GGA-PBE) on a geometry-optimized YNpInO6 structure.

Cell and atoms, written as CIF:
```
data_YNpInO6
_chemical_formula_sum 'Y2 Np2 In2 O12'
_space_group_name_H-M_alt 'P -3 1 c'
_space_group_IT_number 163
_space_group_name_Hall '-P 3 2c'
_cell_length_a 5.6991
_cell_length_b 5.6991
_cell_length_c 9.0959
_cell_angle_alpha 90.00
_cell_angle_beta 90.00
_cell_angle_gamma 120.00
loop_
_atom_site_label
_atom_site_fract_x
_atom_site_fract_y
_atom_site_fract_z
_atom_site_occupancy
Y1 0.3333 0.6667 0.2500 1
Np1 0.3333 0.6667 0.7500 1
In1 0.0000 0.0000 0.0000 1
O1 0.0270 0.3509 0.6303 1
```

crystal system = trigonal
raw formation energy = -2.560 eV per atom



Number 1: total moment 0.00 μB/f.u.. Number 2: total moment 1.00 μB/f.u..